1.
Material: Sr2ReN3
Method: DFT, GGA-PBE
State: optimized geometry

Output
E above lowest polymorph (meV per atom): 49
Uncorrected formation energy (eV per atom): -0.643
Calculated total energy (eV/f.u.): -44.647

The structure in POSCAR format:
```
Sr2ReN3
1.0
2.8927 -5.6423 0.0000
2.8927 5.6423 0.0000
0.0000 0.0000 12.8866
Sr Re N
8 4 12
Cartesian
2.8927 4.9560 11.1748
2.8927 4.0605 5.4001
2.8927 1.5818 11.8434
2.8927 0.6862 4.7315
2.8927 -0.6862 8.1551
2.8927 -1.5818 1.0432
2.8927 -4.0605 7.4865
2.8927 -4.9560 1.7118
2.8927 2.9385 8.4753
2.8927 2.7038 2.0320
2.8927 -2.7038 10.8546
2.8927 -2.9385 4.4113
1.4463 2.5897 9.6650
2.8927 4.7366 8.0091
2.8927 3.8869 0.5531
2.8927 1.7554 6.9964
2.8927 0.9056 1.5658
1.4463 -2.5897 3.2217
4.3390 2.5897 9.6650
2.8927 -0.9056 11.3208
2.8927 -1.7554 5.8902
2.8927 -3.8869 12.3336
2.8927 -4.7366 4.8775
4.3390 -2.5897 3.2217
```

2.
Material: SrRe2N6
Method: DFT, GGA-PBE
State: optimized geometry

Output
Uncorrected formation energy (eV per atom): 0.062
Calculated total energy (eV/f.u.): -75.975

The structure in POSCAR format:
```
SrRe2N6
1.0
5.6635 0.0000 0.0000
-2.8317 4.9047 0.0000
0.0000 0.0000 3.8130
Sr Re N
1 2 6
Cartesian
0.0000 0.0000 0.0000
0.0000 3.2698 1.9065
2.8317 1.6349 1.9065
-1.3934 2.4135 3.1341
-1.4383 2.4912 0.6789
2.7868 0.0000 3.1341
1.3934 2.4135 0.6789
2.8766 0.0000 0.6789
1.4383 2.4912 3.1341
```

3.
Material: SrReN2
Method: DFT, GGA-PBE
State: optimized geometry

Output
E above lowest polymorph (meV per atom): 37
Uncorrected formation energy (eV per atom): -0.487
Calculated total energy (eV/f.u.): -32.727

The structure in POSCAR format:
```
SrReN2
1.0
2.5679 -6.4214 0.0000
2.5679 6.4214 0.0000
0.0000 0.0000 7.4080
Sr Re N
4 4 8
Cartesian
2.5679 4.3003 6.7492
2.5679 2.1211 3.0452
2.5679 -2.1211 4.3628
2.5679 -4.3003 0.6588
2.5679 5.5201 2.5434
2.5679 0.9013 6.2474
2.5679 -0.9013 1.1606
2.5679 -5.5201 4.8646
1.2839 2.2231 5.5560
2.5679 5.2660 4.4139
2.5679 1.1554 0.7099
1.2839 -2.2231 1.8520
3.8518 2.2231 5.5560
2.5679 -1.1554 6.6981
2.5679 -5.2660 2.9941
3.8518 -2.2231 1.8520
```

4.
Material: Sr2ReN3
Method: DFT, GGA-PBE
State: optimized geometry

Output
E above lowest polymorph (meV per atom): 0
Uncorrected formation energy (eV per atom): -0.692
Calculated total energy (eV/f.u.): -44.941

The structure in POSCAR format:
```
Sr2ReN3
1.0
2.7515 -5.6920 0.0000
2.7515 5.6920 0.0000
-1.2241 0.0000 12.5123
Sr Re N
8 4 12
Cartesian
0.7739 2.2743 4.4609
0.1646 1.2635 11.5623
0.7767 -1.2635 5.3062
0.1618 -2.2743 10.7170
4.1170 2.2743 1.7953
3.5021 1.2635 7.2062
4.1142 -1.2635 0.9500
3.5049 -2.2743 8.0515
1.3778 0.0410 2.1665
0.7658 -0.0410 8.4227
3.5130 0.0410 4.0896
2.9010 -0.0410 10.3458
1.8334 5.6774 9.3843
1.4841 1.8361 1.6138
0.7569 0.9782 6.8598
1.3690 -0.9782 0.6036
1.8334 1.4339 9.3843
0.8720 -1.8361 7.8700
3.4067 1.8361 4.6423
2.4454 -1.4339 3.1281
2.9098 0.9782 11.9088
3.5218 -0.9782 5.6526
2.7947 -1.8361 10.8985
2.4454 -5.6774 3.1281
```

5.
Material: SrReN2
Method: DFT, GGA-PBE
State: optimized geometry

Output
E above lowest polymorph (meV per atom): 0
Uncorrected formation energy (eV per atom): -0.524
Calculated total energy (eV/f.u.): -32.877

The structure in POSCAR format:
```
SrReN2
1.0
3.9622 0.0000 0.0000
0.0000 3.9622 0.0000
0.0000 0.0000 3.6627
Sr Re N
1 1 2
Cartesian
0.0000 0.0000 0.0000
1.9811 1.9811 1.8313
0.0000 1.9811 1.8313
1.9811 0.0000 1.8313
```

6.
Material: Sr2ReN
Method: DFT, GGA-PBE
State: optimized geometry

Output
Uncorrected formation energy (eV per atom): -0.074
Calculated total energy (eV/f.u.): -24.435

The structure in POSCAR format:
```
Sr2ReN
1.0
-5.3388 5.3388 1.9337
5.3388 -5.3388 1.9337
5.3388 5.3388 -1.9337
Sr Re N
4 2 2
Cartesian
0.6136 2.6694 0.4834
-2.6694 4.7252 1.4503
-0.6136 8.0082 0.4834
2.6694 5.9524 1.4503
5.3388 0.0000 0.9669
0.0000 0.0000 1.9337
0.0000 0.0000 0.0000
0.0000 5.3388 0.9669
```

7.
Material: Sr3Re3N5
Method: DFT, GGA-PBE
State: optimized geometry

Output
Uncorrected formation energy (eV per atom): -0.313
Calculated total energy (eV/f.u.): -87.457

The structure in POSCAR format:
```
Sr3Re3N5
1.0
6.0565 0.0000 0.0000
-0.5984 7.0690 0.0000
-2.1360 -2.8585 8.4386
Sr Re N
6 6 10
Cartesian
-0.1851 1.4960 3.2394
-0.6273 -0.9198 5.9445
1.0788 6.2457 0.9733
2.2433 -2.0353 7.4653
3.9493 5.1302 2.4941
3.5072 2.7145 5.1992
0.6928 2.8620 0.5589
0.3071 2.0102 6.8003
0.9226 4.4262 3.9634
2.3995 -0.2158 4.4752
3.0149 2.2002 1.6383
2.6293 1.3484 7.8797
-1.4420 1.4138 7.4277
0.6237 -0.9086 3.5717
0.2723 3.3011 5.3811
-0.0218 -1.2855 8.4105
1.4983 3.4937 2.3663
1.8238 0.7167 6.0723
3.3439 5.4960 0.0281
3.0498 0.9094 3.0575
2.6984 5.1191 4.8669
4.7641 2.7966 1.0109
```

8.
Material: Sr4ReN4
Method: DFT, GGA-PBE
State: optimized geometry

Output
Uncorrected formation energy (eV per atom): -0.548
Calculated total energy (eV/f.u.): -57.410

The structure in POSCAR format:
```
Sr4ReN4
1.0
6.8851 0.0000 0.0000
0.0000 6.8851 0.0000
0.0000 0.0000 8.7452
Sr Re N
8 2 8
Cartesian
0.0684 1.7213 0.6559
1.7213 0.0684 5.0285
1.7213 3.3742 5.0285
3.3742 1.7213 0.6559
3.5110 5.1639 8.0892
5.1639 3.5110 3.7166
5.1639 6.8167 3.7166
6.8167 5.1639 8.0892
1.7213 5.1639 2.1863
5.1639 1.7213 6.5589
0.2623 5.1639 3.3456
1.7213 3.7049 1.0270
1.7213 6.6229 1.0270
3.1803 5.1639 3.3456
3.7049 1.7213 5.3995
5.1639 0.2623 7.7182
5.1639 3.1803 7.7182
6.6229 1.7213 5.3995
```

9.
Material: SrRe2N4
Method: DFT, GGA-PBE
State: optimized geometry

Output
Uncorrected formation energy (eV per atom): 0.096
Calculated total energy (eV/f.u.): -59.208

The structure in POSCAR format:
```
SrRe2N4
1.0
-3.4775 3.4775 2.6198
3.4775 -3.4775 2.6198
3.4775 3.4775 -2.6198
Sr Re N
1 2 4
Cartesian
0.0000 0.0000 0.0000
3.4775 0.0000 1.3099
0.0000 3.4775 1.3099
3.4775 1.4076 0.0000
1.4076 3.4775 0.0000
2.0698 0.0000 2.6198
0.0000 2.0698 2.6198
```

10.
Material: SrReN2
Method: DFT, GGA-PBE
State: optimized geometry

Output
E above lowest polymorph (meV per atom): 1493
Uncorrected formation energy (eV per atom): 0.969
Calculated total energy (eV/f.u.): -26.906

The structure in POSCAR format:
```
SrReN2
1.0
0.0000 2.8944 2.8944
2.8944 0.0000 2.8944
2.8944 2.8944 0.0000
Sr Re N
1 1 2
Cartesian
0.0000 0.0000 0.0000
2.8944 2.8944 2.8944
1.4472 1.4472 1.4472
4.3417 4.3417 4.3417
```

11.
Material: Sr3Re5N12
Method: DFT, GGA-PBE
State: optimized geometry

Output
Uncorrected formation energy (eV per atom): -0.356
Calculated total energy (eV/f.u.): -174.319

The structure in POSCAR format:
```
Sr3Re5N12
1.0
-6.5628 6.5628 6.5628
6.5628 -6.5628 6.5628
6.5628 6.5628 -6.5628
Sr Re N
12 20 48
Cartesian
3.2814 1.6407 0.0000
6.5628 3.2814 -1.6407
1.6407 0.0000 3.2814
8.2035 0.0000 3.2814
0.0000 3.2814 1.6407
3.2814 -1.6407 6.5628
3.2814 8.2035 0.0000
6.5628 3.2814 4.9221
-1.6407 6.5628 3.2814
4.9221 6.5628 3.2814
0.0000 3.2814 8.2035
3.2814 4.9221 6.5628
0.0000 0.0000 0.0000
3.2814 3.2814 -3.2814
3.2814 -3.2814 3.2814
6.5628 0.0000 0.0000
9.8441 1.6407 0.0000
6.5628 -3.2814 4.9221
4.9221 6.5628 -3.2814
4.9221 0.0000 3.2814
3.2814 4.9221 0.0000
6.5628 3.2814 1.6407
-3.2814 3.2814 3.2814
0.0000 6.5628 0.0000
0.0000 0.0000 6.5628
3.2814 3.2814 3.2814
0.0000 3.2814 4.9221
3.2814 1.6407 6.5628
1.6407 6.5628 3.2814
1.6407 0.0000 9.8441
0.0000 9.8441 1.6407
-3.2814 4.9221 6.5628
5.1882 -3.7637 3.7860
11.2187 0.5046 -0.4823
8.4696 0.5046 0.4823
7.9373 -2.7991 3.7860
9.3618 2.7768 -1.3746
7.0451 -4.6560 6.0581
3.7860 5.1882 -3.7637
6.0581 -0.4823 1.9068
6.0581 7.0451 -4.6560
3.7860 -1.3746 3.7637
3.7637 3.7860 -1.3746
6.0805 1.9068 0.5046
10.3264 2.7768 1.3746
6.0805 -1.9068 6.0581
6.0581 6.0805 -1.9068
3.7860 1.3746 2.7991
3.7860 7.9373 -2.7991
6.0581 0.4823 4.6560
2.7991 3.7860 1.3746
7.0451 4.6560 0.5046
1.9068 6.0581 -0.4823
7.9373 2.7991 2.7768
4.6560 6.0581 0.4823
5.1882 3.7637 2.7768
1.3746 2.7991 3.7860
1.9068 0.5046 6.0805
-1.3746 3.7637 3.7860
4.6560 0.5046 7.0451
-0.4823 1.9068 6.0581
3.7637 2.7768 5.1882
0.5046 6.0805 1.9068
2.7768 -1.3746 9.3618
2.7768 5.1882 3.7637
0.5046 0.4823 8.4696
0.4823 8.4696 0.5046
-3.7637 3.7860 5.1882
0.4823 4.6560 6.0581
2.7991 2.7768 7.9373
2.7768 7.9373 2.7991
0.5046 -0.4823 11.2187
0.5046 7.0451 4.6560
2.7768 1.3746 10.3264
-0.4823 11.2187 0.5046
-2.7991 3.7860 7.9373
-1.3746 9.3618 2.7768
-1.9068 6.0581 6.0805
-4.6560 6.0581 7.0451
1.3746 10.3264 2.7768
```

12.
Material: SrRe2N
Method: DFT, GGA-PBE
State: optimized geometry

Output
Uncorrected formation energy (eV per atom): 0.677
Calculated total energy (eV/f.u.): -32.194

The structure in POSCAR format:
```
SrRe2N
1.0
-3.0925 3.0925 4.4167
3.0925 -3.0925 4.4167
3.0925 3.0925 -4.4167
Sr Re N
2 4 2
Cartesian
0.0000 0.0000 0.0000
0.0000 3.0925 2.2083
1.5462 2.8719 -1.1042
3.3131 1.5462 1.1042
1.5462 0.2206 3.3125
-0.2206 1.5462 5.5209
3.0925 0.0000 2.2083
0.0000 0.0000 4.4167
```

13.
Material: Sr8Re3N8
Method: DFT, GGA-PBE
State: optimized geometry

Output
Uncorrected formation energy (eV per atom): -0.648
Calculated total energy (eV/f.u.): -129.712

The structure in POSCAR format:
```
Sr8Re3N8
1.0
9.6488 -2.7155 0.0000
9.6488 2.7155 0.0000
-2.1103 0.0000 7.3612
Sr Re N
8 3 8
Cartesian
-0.0893 0.0000 1.9822
2.1771 0.0000 5.8601
5.3722 0.0000 3.9198
7.6399 0.0000 0.3797
9.5473 0.0000 6.9814
11.8150 0.0000 3.4414
15.0102 0.0000 1.5010
17.2765 0.0000 5.3790
3.1654 0.0000 1.4963
8.5936 0.0000 3.6806
14.0219 0.0000 5.8648
1.9788 0.0000 0.0536
2.5325 0.0000 3.2275
5.0157 0.0000 1.2454
7.6286 0.0000 5.2898
9.5587 0.0000 2.0713
12.1715 0.0000 6.1158
14.6547 0.0000 4.1337
15.2084 0.0000 7.3075
```

14.
Material: Sr2ReN3
Method: DFT, GGA-PBE
State: optimized geometry

Output
E above lowest polymorph (meV per atom): 127
Uncorrected formation energy (eV per atom): -0.565
Calculated total energy (eV/f.u.): -44.176

The structure in POSCAR format:
```
Sr2ReN3
1.0
-1.8198 1.9858 6.6631
1.8198 -1.9858 6.6631
1.8198 1.9858 -6.6631
Sr Re N
2 1 3
Cartesian
0.0000 0.0000 2.0126
0.0000 0.0000 11.3135
0.0000 0.0000 6.6631
1.8198 0.0000 0.0000
0.0000 0.0000 4.7274
0.0000 0.0000 8.5987
```

15.
Material: SrReN2
Method: DFT, GGA-PBE
State: optimized geometry

Output
E above lowest polymorph (meV per atom): 191
Uncorrected formation energy (eV per atom): -0.333
Calculated total energy (eV/f.u.): -32.113

The structure in POSCAR format:
```
SrReN2
1.0
-2.5204 2.5204 5.2983
2.5204 -2.5204 5.2983
2.5204 2.5204 -5.2983
Sr Re N
2 2 4
Cartesian
0.0000 0.0000 0.0000
0.0000 2.5204 2.6492
2.5204 0.0000 2.6492
0.0000 0.0000 5.2983
1.2602 -0.6023 3.9737
1.9182 1.2602 1.3246
1.2602 3.1227 -1.3246
0.6023 1.2602 6.6229
```

16.
Material: SrReN2
Method: DFT, GGA-PBE
State: optimized geometry

Output
E above lowest polymorph (meV per atom): 868
Uncorrected formation energy (eV per atom): 0.344
Calculated total energy (eV/f.u.): -29.404

The structure in POSCAR format:
```
SrReN2
1.0
1.7527 1.0119 6.6642
-1.7527 1.0119 6.6642
0.0000 -2.0238 6.6642
Sr Re N
1 1 2
Cartesian
0.0000 0.0000 0.0000
0.0000 0.0000 9.9964
0.0000 0.0000 8.1671
0.0000 0.0000 11.8257
```

17.
Material: SrReN2
Method: DFT, GGA-PBE
State: optimized geometry

Output
E above lowest polymorph (meV per atom): 949
Uncorrected formation energy (eV per atom): 0.425
Calculated total energy (eV/f.u.): -29.082

The structure in POSCAR format:
```
SrReN2
1.0
1.6700 0.9642 6.4663
-1.6700 0.9642 6.4663
0.0000 -1.9284 6.4663
Sr Re N
1 1 2
Cartesian
0.0000 0.0000 0.0000
0.0000 0.0000 9.6995
0.0000 0.0000 2.4012
0.0000 0.0000 16.9977
```